# YScCo2 PBE optimized geometry
# Volume, Å³/atom: 18.7
# Energy above the most stable polymorph in this dataset, meV per atom: 245
# Density, Mg/m³: 5.597
data_YScCo2
_chemical_formula_sum 'Y1 Sc1 Co2'
_cell_length_a 3.129
_cell_length_b 3.129
_cell_length_c 7.629
_cell_angle_alpha 90.00
_cell_angle_beta 90.00
_cell_angle_gamma 90.00
_space_group_name_H-M_alt 'P 4 m m'
_space_group_IT_number 99
loop_
_space_group_symop_operation_xyz
'x,y,z'
'-y,x,z'
'-x,-y,z'
'y,-x,z'
'-x,y,z'
'y,x,z'
'x,-y,z'
'-y,-x,z'
loop_
_atom_site_label
_atom_site_type_symbol
_atom_site_fract_x
_atom_site_fract_y
_atom_site_fract_z
Y1 Y 0.000 0.000 0.000
Sc1 Sc 0.500 0.500 0.614
Co1 Co 0.000 0.000 0.399
Co2 Co 0.500 0.500 0.255

***

# Y2ScCo PBE optimized geometry
# Volume, Å³/atom: 23.6
# Energy above the most stable polymorph in this dataset, meV per atom: 71
# Density, Mg/m³: 4.949
data_Y2ScCo
_chemical_formula_sum 'Y4 Sc2 Co2'
_cell_length_a 3.454
_cell_length_b 5.195
_cell_length_c 10.537
_cell_angle_alpha 90.00
_cell_angle_beta 90.00
_cell_angle_gamma 90.00
_space_group_name_H-M_alt 'I m m 2'
_space_group_IT_number 44
loop_
_space_group_symop_operation_xyz
'x,y,z'
'-x,-y,z'
'-x,y,z'
'x,-y,z'
'x+1/2,y+1/2,z+1/2'
'-x+1/2,-y+1/2,z+1/2'
'-x+1/2,y+1/2,z+1/2'
'x+1/2,-y+1/2,z+1/2'
loop_
_atom_site_label
_atom_site_type_symbol
_atom_site_fract_x
_atom_site_fract_y
_atom_site_fract_z
Y1 Y 0.000 0.000 0.000
Y2 Y 0.000 0.500 0.197
Sc1 Sc 0.000 0.500 0.812
Co1 Co 0.000 0.000 0.490

***

# YSc2Co PBE optimized geometry
# Volume, Å³/atom: 21.7
# Energy above the most stable polymorph in this dataset, meV per atom: 470
# Density, Mg/m³: 4.550
data_YSc2Co
_chemical_formula_sum 'Y2 Sc4 Co2'
_cell_length_a 5.933
_cell_length_b 10.366
_cell_length_c 3.236
_cell_angle_alpha 90.00
_cell_angle_beta 119.30
_cell_angle_gamma 90.00
_space_group_name_H-M_alt 'C 1 2/m 1'
_space_group_IT_number 12
loop_
_space_group_symop_operation_xyz
'x,y,z'
'-x,-y,-z'
'-x,y,-z'
'x,-y,z'
'x+1/2,y+1/2,z'
'-x+1/2,-y+1/2,-z'
'-x+1/2,y+1/2,-z'
'x+1/2,-y+1/2,z'
loop_
_atom_site_label
_atom_site_type_symbol
_atom_site_fract_x
_atom_site_fract_y
_atom_site_fract_z
Y1 Y 0.000 0.000 0.000
Sc1 Sc 0.250 0.250 0.500
Co1 Co 0.000 0.500 0.000

***

| no. | DOS at the Fermi energy (states/eV per cell) |
| --- | --- |
| 1 | 4.80 |
| 2 | 9.15 |
| 3 | 11.11 |